The following is a PBE+U calculation of crystalline YCo3Cu4O12 at its relaxed geometry, from the Alexandria database.

Values from the calculation:
Its energy is -5.837 eV per atom. For the density of states at the Fermi level, the calculation gives 0.3157 states/eV/atom. Its total magnetization is 6.13 μB/cell. The symmetry is Im-3, No. 204.

a = 6.347 Å, b = 6.347 Å, c = 6.347 Å
α = 109.47°, β = 109.47°, γ = 109.47°
Positions (direct):
1 Y 0.000 0.000 0.000
2 Co 0.000 0.500 0.500
3 Co 0.500 0.000 0.500
4 Co 0.500 0.500 0.000
5 Cu 0.000 0.000 0.500
6 Cu 0.000 0.500 0.000
7 Cu 0.500 0.000 0.000
8 Cu 0.500 0.500 0.500
9 O 0.137 0.829 0.309
10 O 0.171 0.309 0.480
11 O 0.171 0.691 0.863
12 O 0.309 0.137 0.829
13 O 0.309 0.480 0.171
14 O 0.480 0.171 0.309
15 O 0.520 0.829 0.691
16 O 0.691 0.520 0.829
17 O 0.691 0.863 0.171
18 O 0.829 0.309 0.137
19 O 0.829 0.691 0.520
20 O 0.863 0.171 0.691